[1]
The following is a GGA-PBE calculation of an optimized crystal structure of UZn, from the Open Quantum Materials Database.

Properties
ΔH_f (0 K), eV/atom: 0.10
V, A^3/atom: 18.4

Lattice parameters (Å, degrees): 6.283 4.953 4.724 90.00 90.00 90.00
Space group Pbcm (No. 57)
Unique sites:
U  0.112  0.114  0.250 [4 per cell]
Zn  0.400  0.611  0.250 [4 per cell]

---

[2]
The following is a GGA-PBE calculation of an optimized crystal structure of UZn, from the Open Quantum Materials Database.

Properties
ΔH_f (0 K), eV/atom: 0.27
V, A^3/atom: 18.8

Lattice parameters (Å, degrees): 6.4623 6.4623 4.1558 90.00 90.00 120.00
Space group P-6m2 (No. 187)
Unique sites:
U  0.0000  0.0000  0.0000 [1 per cell]
U  0.3341  0.1670  0.5000 [3 per cell]
Zn  0.0618  0.5309  0.0000 [3 per cell]
Zn  0.3333  0.6667  0.5000 [1 per cell]

---

[3]
The following is a GGA-PBE calculation of an optimized crystal structure of UZn3, from the Open Quantum Materials Database.

Properties
ΔH_f (0 K), eV/atom: 0.16
V, A^3/atom: 18.6

Lattice parameters (Å, degrees): 6.265 10.866 4.362 90.00 90.00 90.00
Space group Cmcm (No. 63)
Unique sites:
U  0.000  0.167  0.250 [4 per cell]
Zn  0.000  0.350  0.750 [4 per cell]
Zn  0.224  0.425  0.250 [8 per cell]

---

[4]
The following is a GGA-PBE calculation of an optimized crystal structure of Zr2U, from the Open Quantum Materials Database.

Properties
ΔH_f (0 K), eV/atom: 0.14
V, A^3/atom: 22.2

Lattice parameters (Å, degrees): 3.011 17.419 5.082 90.00 90.00 90.00
Space group Cmcm (No. 63)
Unique sites:
Zr  0.000  0.123  0.250 [4 per cell]
Zr  0.000  0.207  0.750 [4 per cell]
U  0.000  0.463  0.250 [4 per cell]

---

[5]
The following is a GGA-PBE calculation of an optimized crystal structure of Zr2U, from the Open Quantum Materials Database.

Properties
ΔH_f (0 K), eV/atom: 0.23
V, A^3/atom: 22.9

Lattice parameters (Å, degrees): 3.001 17.193 5.337 90.00 90.00 90.00
Space group Cmcm (No. 63)
Unique sites:
Zr  0.000  0.044  0.250 [4 per cell]
Zr  0.000  0.288  0.750 [4 per cell]
U  0.000  0.377  0.250 [4 per cell]

---

[6]
The following is a GGA-PBE calculation of an optimized crystal structure of Zr2U, from the Open Quantum Materials Database.

Properties
ΔH_f (0 K), eV/atom: 0.15
V, A^3/atom: 22.8

Lattice parameters (Å, degrees): 5.107 9.225 5.819 90.00 90.00 90.00
Space group Pmmn (No. 59, origin choice 2)
Unique sites:
Zr  0.250  0.077  0.142 [4 per cell]
Zr  0.250  0.250  0.624 [2 per cell]
Zr  0.250  0.750  0.086 [2 per cell]
U  0.250  0.615  0.607 [4 per cell]

---

[7]
The following is a GGA-PBE calculation of an optimized crystal structure of Zr2U, from the Open Quantum Materials Database.

Properties
ΔH_f (0 K), eV/atom: 0.19
V, A^3/atom: 22.4

Lattice parameters (Å, degrees): 9.113 5.896 5.007 90.00 90.00 90.00
Space group Cmcm (No. 63)
Unique sites:
Zr  0.170  0.136  0.250 [8 per cell]
U  0.000  0.406  0.750 [4 per cell]

---

[8]
The following is a GGA-PBE calculation of an optimized crystal structure of Zr2U, from the Open Quantum Materials Database.

Properties
ΔH_f (0 K), eV/atom: 0.23
V, A^3/atom: 23.1

Lattice parameters (Å, degrees): 5.4437 5.4437 5.3995 90.00 90.00 120.00
Space group P-62m (No. 189)
Unique sites:
Zr  0.0000  0.0000  0.0000 [1 per cell]
Zr  0.0000  0.6744  0.5000 [3 per cell]
U  0.3333  0.6667  0.0000 [2 per cell]

---

[9]
The following is a GGA-PBE calculation of an optimized crystal structure of W, from the Open Quantum Materials Database.

Properties
ΔH_f (0 K), eV/atom: 0.45
Distance to the lowest polymorph of the same formula, kJ per mole of atoms: 43.6
V, A^3/atom: 16.9

Lattice parameters (Å, degrees): 5.2194 5.2194 17.1789 90.00 90.00 120.00
Space group P6_3/mmc (No. 194)
Unique sites:
W  0.0000  0.0000  0.1038 [4 per cell]
W  0.0000  0.5000  0.0000 [6 per cell]
W  0.1635  0.3270  0.2500 [6 per cell]
W  0.3333  0.6667  0.1245 [4 per cell]
W  0.3333  0.6667  0.6480 [4 per cell]

---

[10]
The following is a GGA-PBE calculation of an optimized crystal structure of W, from the Open Quantum Materials Database.

Properties
ΔH_f (0 K), eV/atom: 0.29
Distance to the lowest polymorph of the same formula, kJ per mole of atoms: 27.7
V, A^3/atom: 16.6

Lattice parameters (Å, degrees): 9.868 9.868 9.868 90.00 90.00 90.00
Space group I-43m (No. 217)
Unique sites:
W  0.000  0.000  0.000 [2 per cell]
W  0.047  0.361  0.639 [24 per cell]
W  0.094  0.094  0.714 [24 per cell]
W  0.181  0.181  0.181 [8 per cell]

---

[11]
The following is a GGA-PBE calculation of an optimized crystal structure of W, from the Open Quantum Materials Database.

Properties
ΔH_f (0 K), eV/atom: 0.44
Distance to the lowest polymorph of the same formula, kJ per mole of atoms: 42.7
V, A^3/atom: 16.5

Lattice parameters (Å, degrees): 2.626 5.248 4.784 90.00 90.00 90.00
Space group Cmcm (No. 63)
Unique sites:
W  0.000  0.153  0.250 [4 per cell]

---

[12]
The following is a GGA-PBE calculation of an optimized crystal structure of W, from the Open Quantum Materials Database.

Properties
ΔH_f (0 K), eV/atom: 0.46
Distance to the lowest polymorph of the same formula, kJ per mole of atoms: 44.7
V, A^3/atom: 16.9

Lattice parameters (Å, degrees): 5.2231 5.2231 8.5880 90.00 90.00 120.00
Space group P6_3/mmc (No. 194)
Unique sites:
W  0.0000  0.0000  0.0000 [2 per cell]
W  0.1699  0.3399  0.2500 [6 per cell]
W  0.3333  0.6667  0.5433 [4 per cell]

---

- The lowest ΔH_f (0 K) belongs to which entry?
  number 1